A:
# TiRhS2

TiRhS2 after structural relaxation (PBE-GGA, Alexandria).

Size of the total moment (μB per atom): 0.00

```
data_TiRhS2
_chemical_formula_sum 'Ti4 Rh4 S8'
_cell_length_a 5.342
_cell_length_b 5.342
_cell_length_c 10.814
_cell_angle_alpha 90.00
_cell_angle_beta 90.00
_cell_angle_gamma 90.00
_space_group_name_H-M_alt 'I -4 2 d'
_space_group_IT_number 122
_space_group_name_Hall 'I -4 2bw'
loop_
_atom_site_label
_atom_site_fract_x
_atom_site_fract_y
_atom_site_fract_z
_atom_site_occupancy
Ti1 0.000 0.000 0.000 1
Rh1 0.000 0.000 0.500 1
S1 0.249 0.250 0.625 1
```



B:
# TiRhS2

TiRhS2 after structural relaxation (PBE-GGA, Alexandria).

Size of the total moment (μB per atom): 0.00

```
data_TiRhS2
_chemical_formula_sum 'Ti4 Rh4 S8'
_cell_length_a 6.084
_cell_length_b 6.084
_cell_length_c 6.084
_cell_angle_alpha 90.00
_cell_angle_beta 90.00
_cell_angle_gamma 90.00
_space_group_name_H-M_alt 'F m -3 m'
_space_group_IT_number 225
_space_group_name_Hall '-F 4 2 3'
loop_
_atom_site_label
_atom_site_fract_x
_atom_site_fract_y
_atom_site_fract_z
_atom_site_occupancy
Ti1 0.000 0.000 0.000 1
Rh1 0.000 0.000 0.500 1
S1 0.250 0.250 0.250 1
```



C:
# TiRhS2

TiRhS2 after structural relaxation (PBE-GGA, Alexandria).

Size of the total moment (μB per atom): 0.12

```
data_TiRhS2
_chemical_formula_sum 'Ti3 Rh3 S6'
_cell_length_a 3.4292
_cell_length_b 3.4292
_cell_length_c 22.0789
_cell_angle_alpha 90.00
_cell_angle_beta 90.00
_cell_angle_gamma 120.00
_space_group_name_H-M_alt 'R -3 m'
_space_group_IT_number 166
_space_group_name_Hall '-R 3 2"'
loop_
_atom_site_label
_atom_site_fract_x
_atom_site_fract_y
_atom_site_fract_z
_atom_site_occupancy
Ti1 0.0000 0.0000 0.0000 1
Rh1 0.0000 0.0000 0.5000 1
S1 0.0000 0.0000 0.1068 1
```



D:
# TiRhS2

TiRhS2 after structural relaxation (PBE-GGA, Alexandria).

Size of the total moment (μB per atom): 0.00

```
data_TiRhS2
_chemical_formula_sum 'Ti3 Rh3 S6'
_cell_length_a 3.2252
_cell_length_b 3.2252
_cell_length_c 22.6948
_cell_angle_alpha 90.00
_cell_angle_beta 90.00
_cell_angle_gamma 120.00
_space_group_name_H-M_alt 'R -3 m'
_space_group_IT_number 166
_space_group_name_Hall '-R 3 2"'
loop_
_atom_site_label
_atom_site_fract_x
_atom_site_fract_y
_atom_site_fract_z
_atom_site_occupancy
Ti1 0.0000 0.0000 0.0000 1
Rh1 0.0000 0.0000 0.5000 1
S1 0.0000 0.0000 0.4003 1
```



How do the energies compare? Relative to the most stable structure, in kJ/mol of atoms: A 1.6; B 16.1; C 46.5; D 0.0.